Below is a relaxed CrGa2BiO6 crystal, with properties calculated at the GGA+U level.

Values from the calculation:
E_tot in eV per atom: -6.386
Space group: C2/c

a = 5.485 Å, b = 6.890 Å, c = 6.890 Å
α = 91.35°, β = 84.95°, γ = 84.95°
Site moments in Bohr magnetons follow the coordinates.
Fractional positions:
Ga: 0.307 0.407 0.224  0.01
Ga: 0.693 0.593 0.776  0.01
Ga: 0.807 0.224 0.407  0.01
Ga: 0.193 0.776 0.593  0.01
O: 0.867 0.711 0.568  -0.01
O: 0.909 0.381 0.826  -0.01
O: 0.142 0.009 0.742  -0.02
O: 0.133 0.289 0.432  -0.01
O: 0.091 0.619 0.174  -0.01
O: 0.642 0.742 0.009  -0.02
O: 0.633 0.432 0.289  -0.01
O: 0.591 0.174 0.619  -0.01
O: 0.367 0.568 0.711  -0.01
O: 0.409 0.826 0.381  -0.01
O: 0.358 0.258 0.991  -0.02
O: 0.858 0.991 0.258  -0.02
Bi: 0.250 0.891 0.109  0.01
Bi: 0.750 0.109 0.891  0.01
Cr: 0.750 0.712 0.288  2.97
Cr: 0.250 0.288 0.712  2.97